ZnCrPb3: optimized geometry, PBE.

Calculated values
VASP energy = -3.69 eV per atom
space-group type = Pm-3m
N(E_F) = 2.5 states/eV/f.u.
size of the total moment = 4.70 Bohr magnetons per cell
E above lowest polymorph = 260 meV per atom
formation energy from the elements = 0.715 eV per atom

abc: 5.3846 5.3846 5.3846
angles: 90.00 90.00 90.00
Each line ends with the local moment (μB).
Positions (direct):
Zn 0.0000 0.0000 0.0000  0.00
Cr 0.5000 0.5000 0.5000  4.18
Pb 0.0000 0.5000 0.0000  -0.03
Pb 0.5000 0.0000 0.0000  -0.01
Pb 0.0000 0.0000 0.5000  -0.03